[1]
MgFePt6 after structural relaxation. Source: Alexandria, functional GGA-PBE.

```
MgFePt6
1.0
3.9400 0.0000 0.0000
0.0000 3.9400 0.0000
0.0000 0.0000 7.8697
Mg Fe Pt
1 1 6
Direct
0.0000 0.0000 0.0000 Mg
0.0000 0.0000 0.5000 Fe
0.5000 0.5000 0.0000 Pt
0.5000 0.5000 0.5000 Pt
0.5000 0.0000 0.2563 Pt
0.5000 0.0000 0.7437 Pt
0.0000 0.5000 0.2563 Pt
0.0000 0.5000 0.7437 Pt
```

E_form: -0.4202 eV/atom

[2]
MgFe2Pt after structural relaxation. Source: Alexandria, functional GGA-PBE.

```
MgFe2Pt
1.0
4.7265 -0.0107 -0.0358
-2.1763 4.6896 0.0161
0.3739 0.7731 2.5760
Fe Mg Pt
2 1 1
Direct
0.0000 0.0000 0.0000 Fe
0.5000 0.0000 0.5000 Fe
0.0000 0.5000 0.5000 Mg
0.5000 0.5000 0.0000 Pt
```

E_form: -0.0756 eV/atom

[3]
MgFe2Pt after structural relaxation. Source: Alexandria, functional GGA-PBE.

```
MgFe2Pt
1.0
-0.9913 -4.8526 -6.9838
-1.2310 -6.8448 -4.9937
-3.4861 -5.3127 -5.7382
Fe Mg Pt
2 1 1
Direct
0.9942 0.9942 0.9942 Fe
0.2582 0.2582 0.2582 Fe
0.5012 0.5012 0.5012 Mg
0.7463 0.7463 0.7463 Pt
```

E_form: -0.0203 eV/atom

[4]
MgFe2Pt after structural relaxation. Source: Alexandria, functional GGA-PBE.

```
MgFe2Pt
1.0
4.2904 0.0000 0.0000
2.1452 3.7156 0.0000
2.1452 1.2385 3.5031
Fe Mg Pt
2 1 1
Direct
0.0000 0.0000 0.0000 Fe
0.7500 0.7500 0.7500 Fe
0.5000 0.5000 0.5000 Mg
0.2500 0.2500 0.2500 Pt
```

E_form: -0.1629 eV/atom

[5]
MgFe2Pt after structural relaxation. Source: Alexandria, functional GGA-PBE.

```
MgFe2Pt
1.0
-3.6946 2.2648 -0.9852
-1.1912 -0.9691 2.2393
1.2969 3.4506 3.0688
Fe Mg Pt
2 1 1
Direct
0.0000 0.9833 0.0000 Fe
0.0000 0.5167 0.5000 Fe
0.5000 0.2500 0.2500 Mg
0.5000 0.7500 0.7500 Pt
```

E_form: -0.0697 eV/atom

[6]
MgFe2Pt after structural relaxation. Source: Alexandria, functional GGA-PBE.

```
MgFe2Pt
1.0
-2.9603 0.2292 -2.2875
2.1824 -0.8925 -2.9136
-0.7766 -3.9027 0.6139
Fe Mg Pt
2 1 1
Direct
0.0000 0.0000 0.0000 Fe
0.5000 0.5000 0.0000 Fe
0.5000 0.0000 0.5000 Mg
0.0000 0.5000 0.5000 Pt
```

E_form: -0.1862 eV/atom

[7]
MgFePtRh after structural relaxation. Source: Alexandria, functional GGA-PBE.

```
MgFePtRh
1.0
-1.8357 2.7470 -2.8329
-1.8861 -1.5350 -3.6093
-4.3305 0.1261 -0.4146
Mg Rh Fe Pt
1 1 1 1
Direct
0.5000 0.5000 0.5000 Mg
0.2500 0.2500 0.2500 Rh
0.0000 0.0000 0.0000 Fe
0.7500 0.7500 0.7500 Pt
```

E_form: -0.4005 eV/atom

[8]
MgFe2PtS after structural relaxation. Source: Alexandria, functional GGA-PBE.

```
MgFe2PtS
1.0
4.5959 0.0000 0.0000
0.0000 4.5959 0.0000
0.0000 0.0000 4.5593
Mg S Fe Pt
1 1 2 1
Direct
0.0000 0.0000 0.0000 Mg
0.5000 0.5000 0.5000 S
0.0000 0.5000 0.0000 Fe
0.5000 0.0000 0.0000 Fe
0.0000 0.0000 0.5000 Pt
```

Energy relative to the elements, uncorrected: 1405 meV/atom

[9]
MgScFe2Pt after structural relaxation. Source: Alexandria, functional GGA-PBE.

```
MgScFe2Pt
1.0
-1.3274 -3.7639 2.2811
-0.9544 -2.1143 -4.0441
4.2994 -1.6184 -0.1686
Sc Mg Fe Pt
1 1 2 1
Direct
0.5000 0.5000 0.5000 Sc
0.0000 0.5000 0.0000 Mg
0.0000 0.0000 0.5000 Fe
0.5000 0.0000 0.0000 Fe
0.0000 0.0000 0.0000 Pt
```

E_form: 0.8338 eV/atom

[10]
MgZrFePt after structural relaxation. Source: Alexandria, functional GGA-PBE.

```
MgZrFePt
1.0
-0.1873 -2.0358 4.0140
0.4543 -4.4729 0.2803
3.7273 -1.7769 1.8003
Mg Zr Pt Fe
1 1 1 1
Direct
0.5000 0.5000 0.5000 Mg
0.0000 0.0000 0.0000 Zr
0.7500 0.7500 0.7500 Pt
0.2500 0.2500 0.2500 Fe
```

E_form: -0.4474 eV/atom

[11]
Pu2MgFe after structural relaxation. Source: Alexandria, functional GGA-PBE.

```
Pu2MgFe
1.0
-0.5894 -0.0550 -3.1272
2.0865 -2.3776 -0.3514
-6.3551 -5.7693 1.2993
Mg Fe Pu
1 1 2
Direct
0.5000 0.5000 0.5000 Mg
0.5000 0.5000 0.0000 Fe
0.0000 0.0000 0.8002 Pu
0.0000 0.0000 0.1998 Pu
```

E_form: 0.0606 eV/atom
E above lowest polymorph: 0.000 eV/atom

[12]
Pu2MgFe after structural relaxation. Source: Alexandria, functional GGA-PBE.

```
Pu2MgFe
1.0
-1.0339 -1.3670 2.3334
-0.9070 -2.7413 -0.2117
9.8135 -5.0230 3.2017
Mg Fe Pu
1 1 2
Direct
0.0000 0.0000 0.0000 Mg
0.5000 0.5000 0.5000 Fe
0.0937 0.0937 0.7188 Pu
0.9063 0.9063 0.2812 Pu
```

E_form: 0.5030 eV/atom
E above lowest polymorph: 0.442 eV/atom

[13]
PuMgFeRh after structural relaxation. Source: Alexandria, functional GGA-PBE.

```
PuMgFeRh
1.0
-4.5624 -0.3660 -0.4553
-2.2022 -3.6362 1.7564
-2.7260 0.5140 3.6690
Mg Rh Fe Pu
1 1 1 1
Direct
0.0000 0.0000 0.0000 Mg
0.7500 0.7500 0.7500 Rh
0.2500 0.2500 0.2500 Fe
0.5000 0.5000 0.5000 Pu
```

E_form: -0.1859 eV/atom

[14]
PuMgZnFe after structural relaxation. Source: Alexandria, functional GGA-PBE.

```
PuMgZnFe
1.0
-1.0717 -0.8468 4.5236
3.4357 -0.9313 3.1076
1.1035 3.1727 3.3234
Mg Zn Fe Pu
1 1 1 1
Direct
0.0000 0.0000 0.0000 Mg
0.2500 0.2500 0.2500 Zn
0.7500 0.7500 0.7500 Fe
0.5000 0.5000 0.5000 Pu
```

E_form: 0.1408 eV/atom

| no. | total DFT energy (no corrections) (eV/cell) |
| --- | --- |
| 1 | -49.664 |
| 2 | -24.863 |
| 3 | -24.642 |
| 4 | -25.212 |
| 5 | -24.840 |
| 6 | -25.305 |
| 7 | -25.052 |
| 8 | -21.661 |
| 9 | -26.723 |
| 10 | -26.436 |
| 11 | -38.479 |
| 12 | -36.709 |
| 13 | -32.484 |
| 14 | -25.100 |